4
Lattice="3.163 0.000 0.000 0.000 3.163 0.000 0.000 0.000 8.238" Properties=species:S:1:pos:R:3 comment="PaCuHg2 | Alexandria | PBE | relaxed" relative_energy_mev_per_atom=0 dft_energy_ev_per_atom=-3.42 pbc="T T T"
Pa 1.582 1.582 4.119
Hg 0.000 0.000 6.535
Hg 0.000 0.000 1.703
Cu 1.582 1.582 0.000